No. 1
PBE RbPaNb2S8, relaxed; total magnetic moment = 0.0 Bohr magnetons per cell; electronic total energy = -6.330 eV/atom; V = 29.97 Å³ per atom; E_form (uncorrected) = -1028 meV per atom
1.0
-1.824 4.838 -4.109
-6.048 -0.026 -2.653
-5.886 6.648 5.132
S Pa Nb Rb
8 1 2 1
direct
0.180 0.180 0.460
0.059 0.377 0.836
0.941 0.623 0.164
0.377 0.728 0.836
0.820 0.820 0.540
0.623 0.272 0.164
0.728 0.059 0.836
0.272 0.941 0.164
0.000 0.000 0.000
0.257 0.257 0.229
0.743 0.743 0.771
0.500 0.500 0.500



No. 2
PBE Pa2NbRe, relaxed; energy of formation from the pure elements = 155 meV/atom; total magnetic moment = 0.0 Bohr magnetons per cell; electronic total energy = -10.223 eV/atom; V = 21.35 Å³ per atom; distance to the lowest polymorph of the same formula = 0 meV/atom
1.0
-4.762 -0.900 0.975
-1.239 -2.887 3.817
-2.118 1.974 4.006
Re Pa Nb
1 2 1
direct
0.000 0.000 0.000
0.750 0.750 0.750
0.250 0.250 0.250
0.500 0.500 0.500



No. 3
PBE PaNbRe, relaxed; energy of formation from the pure elements = 41 meV/atom; total magnetic moment = 0.0 Bohr magnetons per cell; electronic total energy = -10.631 eV/atom; V = 20.00 Å³ per atom; distance to the lowest polymorph of the same formula = 0 meV/atom
1.0
-0.765 2.039 2.355
0.963 -2.151 2.175
5.287 2.284 -2.445
Re Nb Pa
1 1 1
direct
0.298 0.298 0.595
0.925 0.925 0.850
0.627 0.627 0.255



No. 4
PBE Pa2NbRe, relaxed; energy of formation from the pure elements = 159 meV/atom; total magnetic moment = 0.0 Bohr magnetons per cell; electronic total energy = -10.218 eV/atom; V = 21.30 Å³ per atom; distance to the lowest polymorph of the same formula = 4 meV/atom
1.0
-0.193 3.301 -1.147
-4.329 -1.000 -2.146
-2.352 1.301 4.138
Nb Re Pa
1 1 2
direct
0.500 0.500 0.500
0.500 0.000 0.000
0.000 0.500 0.000
0.000 0.000 0.500



No. 5
PBE PaNbRe, relaxed; energy of formation from the pure elements = 430 meV/atom; total magnetic moment = 0.0 Bohr magnetons per cell; electronic total energy = -10.241 eV/atom; V = 19.94 Å³ per atom; distance to the lowest polymorph of the same formula = 389 meV/atom
1.0
3.872 0.000 0.000
0.000 3.872 0.000
0.000 0.000 7.980
Pa Nb Re
2 2 2
direct
0.000 0.000 0.500
0.500 0.500 0.500
0.000 0.500 0.130
0.500 0.000 0.870
0.000 0.500 0.800
0.500 0.000 0.200



No. 6
PBE PaNbRe2, relaxed; energy of formation from the pure elements = -53 meV/atom; total magnetic moment = 0.0 Bohr magnetons per cell; electronic total energy = -11.169 eV/atom; V = 18.54 Å³ per atom; distance to the lowest polymorph of the same formula = 0 meV/atom
1.0
-1.580 -2.186 -1.884
2.424 -3.526 2.058
-3.386 -0.400 3.303
Re Pa Nb
2 1 1
direct
0.000 0.000 0.500
0.000 0.500 0.000
0.500 0.500 0.500
0.500 0.000 0.000